No. 1
Compound: CeLuFeRh
Source: Alexandria
Functional: GGA-PBE
Structure: optimized geometry

## Properties
final energy: -6.92 eV/atom
energy of formation from the pure elements: -0.354 eV/atom

Cell lengths 6.769, 6.769, 6.769 Å; angles 90.00, 90.00, 90.00 degrees
Space group F-43m (No. 216)
Unique sites:
Ce (0.000, 0.000, 0.000) (multiplicity 4)
Lu (0.000, 0.000, 0.500) (multiplicity 4)
Fe (0.250, 0.250, 0.750) (multiplicity 4)
Rh (0.250, 0.250, 0.250) (multiplicity 4)

***

No. 2
Compound: PaAlSiN
Source: Alexandria
Functional: GGA-PBE
Structure: optimized geometry

## Properties
final energy: -7.62 eV/atom
ΔE_f (raw): -84.23 kJ/mol of atoms

Cell lengths 3.946, 3.946, 8.427 Å; angles 90.00, 90.00, 90.00 degrees
Space group P4/nmm (No. 129, origin choice 2)
Unique sites:
Pa (0.250, 0.250, 0.142) (multiplicity 2)
Al (0.250, 0.750, 0.500) (multiplicity 2)
Si (0.250, 0.250, 0.690) (multiplicity 2)
N (0.250, 0.750, 0.000) (multiplicity 2)

***

No. 3
Compound: AgRuPt2
Source: Alexandria
Functional: GGA-PBE
Structure: optimized geometry

## Properties
final energy: -5.90 eV/atom
energy of formation from the pure elements: 0.152 eV/atom

Cell lengths 2.782, 2.782, 8.126 Å; angles 90.00, 90.00, 90.00 degrees
Space group P4mm (No. 99)
Unique sites:
Ag (0.000, 0.000, 0.000) (multiplicity 1)
Ru (0.500, 0.500, 0.737) (multiplicity 1)
Pt (0.000, 0.000, 0.515) (multiplicity 1)
Pt (0.500, 0.500, 0.264) (multiplicity 1)

***

No. 4
Compound: CsMg2NpCl8
Source: Alexandria
Functional: GGA-PBE
Structure: optimized geometry

## Properties
final energy: -4.44 eV/atom
ΔE_f (raw): -172.90 kJ/mol of atoms

Cell lengths 6.6245, 6.6245, 32.0490 Å; angles 90.00, 90.00, 120.00 degrees
Space group R-3 (No. 148, hexagonal axes)
Unique sites:
Cs (0.0000, 0.0000, 0.0000) (multiplicity 3)
Mg (0.0000, 0.0000, 0.2454) (multiplicity 6)
Np (0.0000, 0.0000, 0.5000) (multiplicity 3)
Cl (0.0000, 0.0000, 0.3164) (multiplicity 6)
Cl (0.0013, 0.6638, 0.2188) (multiplicity 18)

***

No. 5
Compound: Pt3PbN
Source: Alexandria
Functional: GGA-PBE
Structure: optimized geometry

## Properties
final energy: -3.72 eV/atom
ΔE_f (raw): 223.47 kJ/mol of atoms

Cell lengths 5.154, 5.154, 5.154 Å; angles 90.00, 90.00, 90.00 degrees
Space group Pm-3m (No. 221)
Unique sites:
Pt (0.000, 0.000, 0.500) (multiplicity 3)
Pb (0.000, 0.000, 0.000) (multiplicity 1)
N (0.500, 0.500, 0.500) (multiplicity 1)

***

No. 6
Compound: Tb4HoCd2
Source: Alexandria
Functional: GGA-PBE
Structure: optimized geometry

## Properties
final energy: -3.34 eV/atom
energy of formation from the pure elements: 0.218 eV/atom

Cell lengths 5.1316, 5.1316, 30.3764 Å; angles 90.00, 90.00, 120.00 degrees
Space group R-3m (No. 166, hexagonal axes)
Unique sites:
Tb (0.0000, 0.0000, 0.1084) (multiplicity 6)
Tb (0.0000, 0.0000, 0.2963) (multiplicity 6)
Ho (0.0000, 0.0000, 0.5000) (multiplicity 3)
Cd (0.0000, 0.0000, 0.4000) (multiplicity 6)